Y2ZnCo2 | Alexandria via LeMat-Bulk | PBE-GGA | relaxed; uncorrected energy = -5.9576 eV per atom; formation energy = -1.4 eV per formula unit; crystal system = monoclinic; space-group type = C2/c (15)
1.0
4.754 -2.662 0.000
4.754 2.662 0.000
-1.891 0.000 7.320
Y Zn Co
4 2 4
direct
0.007 0.703 0.855
0.297 0.993 0.645
0.703 0.007 0.355
0.993 0.297 0.145
0.367 0.633 0.250
0.633 0.367 0.750
0.202 0.505 0.493
0.495 0.798 0.007
0.505 0.202 0.993
0.798 0.495 0.507

LiSmSnHg | Alexandria via LeMat-Bulk | PBE-GGA | relaxed; uncorrected energy = -3.2618 eV per atom; formation energy = -2.1 eV per formula unit; crystal system = cubic; space-group type = F-43m (216)
1.0
7.315 0.000 0.000
0.000 7.315 0.000
0.000 0.000 7.315
Li Sm Sn Hg
4 4 4 4
direct
0.000 0.000 0.000
0.000 0.500 0.500
0.500 0.000 0.500
0.500 0.500 0.000
0.000 0.000 0.500
0.000 0.500 0.000
0.500 0.000 0.000
0.500 0.500 0.500
0.250 0.250 0.250
0.250 0.750 0.750
0.750 0.250 0.750
0.750 0.750 0.250
0.250 0.250 0.750
0.250 0.750 0.250
0.750 0.250 0.250
0.750 0.750 0.750

ZnCu2SiPd | Alexandria via LeMat-Bulk | PBE-GGA | relaxed; uncorrected energy = -3.5660 eV per atom; crystal system = tetragonal; energy relative to the elements, uncorrected = 0.4505 eV per atom; space-group type = P4/mmm (123)
1.0
4.363 0.000 0.000
0.000 4.363 0.000
0.000 0.000 4.507
Zn Cu Si Pd
1 2 1 1
direct
0.000 0.000 0.000
0.000 0.500 0.500
0.500 0.000 0.500
0.000 0.000 0.500
0.500 0.500 0.000

ScCuMo2 | Alexandria via LeMat-Bulk | PBE-GGA | relaxed; uncorrected energy = -7.8081 eV per atom; formation energy = 0.9 eV per formula unit; crystal system = orthorhombic; space-group type = Cmmm (65); distance to the lowest polymorph of the same formula = 0.175 eV/atom
1.0
3.817 0.000 0.000
0.000 3.880 0.000
0.000 0.000 8.678
Sc Cu Mo
2 2 4
direct
0.000 0.000 0.000
0.500 0.500 0.000
0.000 0.000 0.500
0.500 0.500 0.500
0.000 0.500 0.274
0.000 0.500 0.726
0.500 0.000 0.274
0.500 0.000 0.726